VASP calculation (PBE-GGA) on a relaxed K4CeTm3Se8 crystal.

abc: 8.4434 8.4434 23.0205
angles: 90.00 90.00 120.00
Space group R-3m (No. 166, hexagonal axes)
Inequivalent atoms, fractional coordinates:
1 K 0.0000 0.0000 0.0000 [3 per cell]
2 K 0.0000 0.5000 0.0000 [9 per cell]
3 Ce 0.0000 0.0000 0.5000 [3 per cell]
4 Tm 0.0000 0.5000 0.5000 [9 per cell]
5 Se 0.0000 0.0000 0.2339 [6 per cell]
6 Se 0.0103 0.5051 0.7649 [18 per cell]

calculated density	5.03	g/cm3
E	-4.955	eV per atom

VASP calculation (PBE-GGA) on a relaxed PrScInAu crystal.

abc: 7.3611 7.3611 7.3611
angles: 90.00 90.00 90.00
Space group F-43m (No. 216)
Inequivalent atoms, fractional coordinates:
1 Pr 0.0000 0.0000 0.0000 [4 per cell]
2 Sc 0.0000 0.0000 0.5000 [4 per cell]
3 In 0.2500 0.2500 0.7500 [4 per cell]
4 Au 0.2500 0.2500 0.2500 [4 per cell]

calculated density	8.29	g/cm3
E	-4.808	eV per atom
calculated formation energy	-51	kJ/mol of atoms

VASP calculation (PBE-GGA) on a relaxed Pm2Sm4Mg crystal.

abc: 6.0826 6.6681 11.6988
angles: 90.00 105.08 90.00
Space group P2_1/m (No. 11)
Inequivalent atoms, fractional coordinates:
1 Pm 0.0958 0.2500 0.0053 [2 per cell]
2 Pm 0.2187 0.2500 0.5735 [2 per cell]
3 Sm 0.1422 0.0002 0.2846 [4 per cell]
4 Sm 0.3518 0.7500 0.5587 [2 per cell]
5 Sm 0.4830 0.7500 0.1237 [2 per cell]
6 Mg 0.3523 0.7500 0.8341 [2 per cell]

calculated density	6.64	g/cm3
energy above the most stable polymorph in this dataset	0	meV per atom
E	-4.197	eV per atom
calculated formation energy	8	kJ/mol of atoms